[1]
## Li2PdPbO4 (PBE)

Data for Li2PdPbO4 after structural relaxation.

Results
- Uncorrected energy: -5.19 eV per atom
- ΔE_f (raw): -1.1221 eV/atom

a = 5.8445 Å, b = 3.0962 Å, c = 5.9280 Å
α = 90.00°, β = 115.12°, γ = 90.00°
Closest atoms and distances in Å follow each position.
Space group P2/m (No. 10)
One atom of each set of equivalent atoms:
Li  0.0000  0.0000  0.0000 x1  6 O 2.16-2.31
Li  0.5000  0.5000  0.5000 x1  4 O 2.19
Pd  0.0000  0.0000  0.5000 x1  4 O 2.07
Pb  0.5000  0.5000  0.0000 x1  6 O 2.21-2.26
O  0.0802  0.5000  0.7539 x2  2 Pd 2.07, 1 Pb 2.26, 2 Li 2.31
O  0.4058  0.0000  0.2139 x2  3 Li 2.16-2.19, 2 Pb 2.21

---

[2]
## Li2PmPb2O4 (PBE)

Data for Li2PmPb2O4 after structural relaxation.

Results
- Fermi-level density of states: 0.287 states/eV per atom
- Uncorrected energy: -5.75 eV per atom
- ΔE_f (raw): -1.7716 eV/atom

a = 12.4409 Å, b = 3.5042 Å, c = 8.2083 Å
α = 90.00°, β = 127.49°, γ = 90.00°
Closest atoms and distances in Å follow each position.
Space group C2/m (No. 12)
One atom of each set of equivalent atoms:
Li  0.1620  0.0000  0.3880 x4  4 O 1.94-2.18
Pm  0.0000  0.5000  0.0000 x2  6 O 2.35-2.41
Pb  0.1495  0.5000  0.7443 x4  4 O 2.55-2.70
O  0.0312  0.0000  0.8408 x4  1 Li 1.95
O  0.2284  0.5000  0.3140 x4  3 Li 1.94-2.18

---

[3]
## LiPm2PbO (PBE)

Data for LiPm2PbO after structural relaxation.

Results
- Fermi-level density of states: 0.396 states/eV per atom
- Uncorrected energy: -5.44 eV per atom
- ΔE_f (raw): -1.4266 eV/atom

a = 4.9183 Å, b = 4.9183 Å, c = 4.4905 Å
α = 90.00°, β = 90.00°, γ = 90.00°
Closest atoms and distances in Å follow each position.
Space group P4/mmm (No. 123)
One atom of each set of equivalent atoms:
Li  0.0000  0.0000  0.0000 x1  2 O 2.25
Pm  0.0000  0.5000  0.5000 x2  2 O 2.46
Pb  0.5000  0.5000  0.0000 x1  8 Pm 3.33, 4 Li 3.48
O  0.0000  0.0000  0.5000 x1  2 Li 2.25, 4 Pm 2.46

---

[4]
## LiPm2PbO5 (PBE)

Data for LiPm2PbO5 after structural relaxation.

Results
- Fermi-level density of states: 0.252 states/eV per atom
- Uncorrected energy: -6.50 eV per atom
- ΔE_f (raw): -2.0628 eV/atom

a = 6.7686 Å, b = 6.7686 Å, c = 6.4233 Å
α = 90.00°, β = 90.00°, γ = 90.00°
Closest atoms and distances in Å follow each position.
Space group P4/mbm (No. 127)
One atom of each set of equivalent atoms:
Li  0.0000  0.0000  0.0000 x2  10 O 3.11-3.21, 4 Pb 3.38
Pm  0.1748  0.3252  0.5000 x4  4 O 2.27-2.50
Pb  0.0000  0.5000  0.0000 x2  4 O 2.22
O  0.0000  0.0000  0.5000 x2  4 Pm 2.50
O  0.1463  0.6463  0.2672 x8  1 Pb 2.22, 1 Pm 2.27

---

[5]
## Li2PmPbO4 (PBE)

Data for Li2PmPbO4 after structural relaxation.

Results
- Fermi-level density of states: 0.236 states/eV per atom
- Uncorrected energy: -5.99 eV per atom
- ΔE_f (raw): -1.9797 eV/atom

a = 5.5319 Å, b = 5.5319 Å, c = 7.0416 Å
α = 90.00°, β = 90.00°, γ = 90.00°
Closest atoms and distances in Å follow each position.
Space group I-42m (No. 121)
One atom of each set of equivalent atoms:
Li  0.0000  0.5000  0.2500 x4  4 O 2.04
Pm  0.0000  0.0000  0.0000 x2  4 O 2.29
Pb  0.0000  0.0000  0.5000 x2  4 O 2.27
O  0.2488  0.2488  0.3336 x8  2 Li 2.04, 1 Pb 2.27

---

[6]
## LiPr2PbO6 (PBE)

Data for LiPr2PbO6 after structural relaxation.

Results
- Fermi-level density of states: 0.899 states/eV per atom
- Uncorrected energy: -6.61 eV per atom
- ΔE_f (raw): -2.1152 eV/atom

a = 5.6875 Å, b = 6.0346 Å, c = 9.7420 Å
α = 90.00°, β = 122.98°, γ = 90.00°
Closest atoms and distances in Å follow each position.
Space group P2_1/c (No. 14)
One atom of each set of equivalent atoms:
Li  0.0000  0.0000  0.0000 x2  6 O 2.16-2.22
Pr  0.2178  0.0708  0.7453 x4  6 O 2.39-2.64
Pb  0.5000  0.0000  0.5000 x2  6 O 2.17-2.22
O  0.1335  0.1921  0.4418 x4  1 Pb 2.17, 1 Li 2.20, 1 Pr 2.42
O  0.2340  0.6993  0.4301 x4  1 Li 2.16, 1 Pb 2.22, 1 Pr 2.39
O  0.3771  0.0523  0.2489 x4  1 Pb 2.17, 1 Li 2.22, 1 Pr 2.39

---

[7]
## LiPtPb2O6 (PBE)

Data for LiPtPb2O6 after structural relaxation.

Results
- Fermi-level density of states: 0.250 states/eV per atom
- Uncorrected energy: -5.50 eV per atom
- ΔE_f (raw): -0.9912 eV/atom

a = 5.4830 Å, b = 5.6149 Å, c = 9.8134 Å
α = 90.00°, β = 122.04°, γ = 90.00°
Closest atoms and distances in Å follow each position.
Space group P2_1/c (No. 14)
One atom of each set of equivalent atoms:
Li  0.0000  0.0000  0.0000 x2  4 O 2.09-2.17
Pt  0.5000  0.0000  0.5000 x2  6 O 2.01-2.02
Pb  0.2103  0.0507  0.7409 x4  6 O 2.28-2.52
O  0.1559  0.2047  0.4390 x4  1 Pt 2.01, 1 Li 2.09
O  0.2249  0.7229  0.4203 x4  1 Pt 2.01, 1 Li 2.17
O  0.4084  0.0693  0.2753 x4  1 Pt 2.02

---

[8]
## LiPtPbO4 (PBE)

Data for LiPtPbO4 after structural relaxation.

Results
- Fermi-level density of states: 0.283 states/eV per atom
- Uncorrected energy: -5.46 eV per atom
- ΔE_f (raw): -0.9623 eV/atom

a = 6.3504 Å, b = 7.3697 Å, c = 9.2471 Å
α = 90.00°, β = 90.00°, γ = 90.00°
Closest atoms and distances in Å follow each position.
Space group Imma (No. 74)
One atom of each set of equivalent atoms:
Li  0.0000  0.2500  0.0604 x4  2 O 1.88
Pt  0.2500  0.2500  0.7500 x4  6 O 2.04-2.06
Pb  0.0000  0.0000  0.5000 x4  6 O 2.39-2.43
O  0.0000  0.0715  0.7570 x8  2 Pt 2.06
O  0.2349  0.2500  0.5294 x8  1 Li 1.88, 1 Pt 2.04

---

Q: Number 3 is which compound?
A: LiPm2PbO